[1]
A plane-wave DFT calculation with PBE was carried out for an optimized crystal structure of Ta2AlZnTc.

Results
E_form   1200 meV/atom

Structure (POSCAR):
```
Ta2AlZnTc
1.0
4.716 0.000 0.000
0.000 4.215 0.000
0.000 0.000 4.716
Zn Ta Al Tc
1 2 1 1
Direct
0.000 0.000 0.000 Zn
0.500 0.000 0.000 Ta
0.000 0.000 0.500 Ta
0.000 0.500 0.000 Al
0.500 0.500 0.500 Tc
```

***

[2]
A plane-wave DFT calculation with PBE was carried out for an optimized crystal structure of TaAl2Te.

Results
Formation energy (no corrections)   0.138 eV/atom

Structure (POSCAR):
```
TaAl2Te
1.0
-4.625 -2.103 0.320
-3.710 -2.072 -2.803
1.547 -4.686 0.407
Ta Al Te
1 2 1
Direct
0.501 0.501 0.503 Ta
0.761 0.761 0.745 Al
0.006 0.006 0.973 Al
0.231 0.231 0.279 Te
```

***

[3]
A plane-wave DFT calculation with PBE was carried out for an optimized crystal structure of Ta2AlTe.

Results
Formation energy (no corrections)   0.235 eV/atom

Structure (POSCAR):
```
Ta2AlTe
1.0
9.342 0.033 0.020
8.818 3.084 0.019
8.818 1.514 2.687
Ta Al Te
2 1 1
Direct
0.000 0.000 0.000 Ta
0.500 0.500 0.500 Ta
0.750 0.750 0.750 Al
0.250 0.250 0.250 Te
```

***

[4]
A plane-wave DFT calculation with PBE was carried out for an optimized crystal structure of TaAl2Te.

Results
Formation energy (no corrections)   0.457 eV/atom

Structure (POSCAR):
```
TaAl2Te
1.0
-3.063 3.483 -1.105
-2.524 -0.237 -4.039
-4.696 -0.812 0.168
Ta Al Te
1 2 1
Direct
0.500 0.500 0.500 Ta
0.250 0.250 0.250 Al
0.000 0.000 0.000 Al
0.750 0.750 0.750 Te
```

***

[5]
A plane-wave DFT calculation with PBE was carried out for an optimized crystal structure of Ta2AlTe.

Results
Formation energy (no corrections)   0.354 eV/atom

Structure (POSCAR):
```
Ta2AlTe
1.0
-1.860 3.340 -1.377
-3.456 -2.096 -0.416
-5.220 3.011 8.358
Te Al Ta
2 2 4
Direct
0.750 0.250 0.500 Te
0.000 0.000 0.000 Te
0.250 0.750 0.500 Al
0.500 0.500 0.000 Al
0.611 0.125 0.250 Ta
0.875 0.861 0.750 Ta
0.139 0.625 0.250 Ta
0.375 0.389 0.750 Ta
```

***

[6]
A plane-wave DFT calculation with PBE was carried out for an optimized crystal structure of TaAlTe3.

Results
Formation energy (no corrections)   0.908 eV/atom

Structure (POSCAR):
```
TaAlTe3
1.0
5.194 0.000 0.000
0.000 5.194 0.000
0.000 0.000 5.194
Te Ta Al
3 1 1
Direct
0.500 0.000 0.000 Te
0.000 0.000 0.500 Te
0.000 0.500 0.000 Te
0.500 0.500 0.500 Ta
0.000 0.000 0.000 Al
```

***

[7]
A plane-wave DFT calculation with PBE was carried out for an optimized crystal structure of Ta2AlTe.

Results
Formation energy (no corrections)   0.269 eV/atom

Structure (POSCAR):
```
Ta2AlTe
1.0
4.373 0.000 0.000
0.000 3.070 -0.011
0.000 1.255 5.624
Al Ta Te
1 2 1
Direct
0.500 0.750 0.750 Al
0.000 0.485 0.513 Ta
0.000 0.015 0.987 Ta
0.500 0.250 0.250 Te
```

***

[8]
A plane-wave DFT calculation with PBE was carried out for an optimized crystal structure of Ta2AlTe.

Results
Formation energy (no corrections)   0.193 eV/atom

Structure (POSCAR):
```
Ta2AlTe
1.0
-1.241 2.496 1.186
0.402 -1.948 2.284
8.506 3.515 1.501
Ta Te Al
2 1 1
Direct
0.000 0.000 0.006 Ta
0.500 0.500 0.234 Ta
0.000 0.000 0.475 Te
0.500 0.500 0.786 Al
```